[1]
Density functional theory data (PBE) for PrDy2As3 after structural relaxation.

Computed properties:
VASP energy: -6.1657 eV/atom
formation energy: -146 kJ/mol of atoms
total moment: 0.00 μB/f.u.

Unit cell a=7.2450 b=7.2450 c=7.2450 alpha=146.43 beta=131.74 gamma=60.07
Atoms (fractional coordinates):
Pr1 0.0000 0.0000 0.0000
Dy1 0.3342 0.3342 0.0000
Dy2 0.6658 0.6658 0.0000
As1 0.1727 0.6727 0.5000
As2 0.5000 0.0000 0.5000
As3 0.8273 0.3273 0.5000

[2]
Density functional theory data (PBE) for LiS2F after structural relaxation.

Computed properties:
ΔE to the lowest computed polymorph: 0.000 eV per atom
VASP energy: -4.0044 eV/atom
total moment: 0.00 μB/f.u.

Unit cell a=14.8458 b=14.8458 c=14.8458 alpha=167.60 beta=167.60 gamma=17.57
Atoms (fractional coordinates):
Li1 0.0000 0.0000 0.0000
Li2 0.7500 0.2500 0.5000
S1 0.1255 0.6250 0.0005
S2 0.3750 0.3755 0.5005
S3 0.6245 0.1250 0.9995
S4 0.8750 0.8745 0.4995
F1 0.2500 0.7500 0.5000
F2 0.5000 0.5000 0.0000

[3]
Density functional theory data (PBE) for Na12GaAg6 after structural relaxation.

Computed properties:
VASP energy: -1.9105 eV/atom
formation energy: -2 kJ/mol of atoms
total moment: 0.00 μB/f.u.

Unit cell a=7.8620 b=7.8620 c=7.8620 alpha=87.79 beta=87.79 gamma=87.79
Atoms (fractional coordinates):
Na1 0.0317 0.9217 0.3102
Na2 0.0783 0.6898 0.9683
Na3 0.1216 0.4726 0.3510
Na4 0.3102 0.0317 0.9217
Na5 0.3510 0.1216 0.4726
Na6 0.4726 0.3510 0.1216
Na7 0.5274 0.6490 0.8784
Na8 0.6490 0.8784 0.5274
Na9 0.6898 0.9683 0.0783
Na10 0.8784 0.5274 0.6490
Na11 0.9217 0.3102 0.0317
Na12 0.9683 0.0783 0.6898
Ga1 0.5000 0.5000 0.5000
Ag1 0.2517 0.7474 0.6031
Ag2 0.2526 0.3969 0.7483
Ag3 0.3969 0.7483 0.2526
Ag4 0.6031 0.2517 0.7474
Ag5 0.7474 0.6031 0.2517
Ag6 0.7483 0.2526 0.3969

[4]
Density functional theory data (PBE) for K2RbRh after structural relaxation.

Computed properties:
ΔE to the lowest computed polymorph: 0.143 eV per atom
VASP energy: -1.9059 eV/atom
formation energy: 70 kJ/mol of atoms
total moment: 0.00 μB/f.u.

Unit cell a=9.0248 b=9.0248 c=9.0248 alpha=122.58 beta=122.58 gamma=85.58
Atoms (fractional coordinates):
K1 0.0000 0.0000 0.0000
K2 0.0000 0.0000 0.5000
K3 0.0000 0.5000 0.0000
K4 0.5000 0.0000 0.5000
Rb1 0.3750 0.6250 0.7500
Rb2 0.6250 0.3750 0.2500
Rh1 0.1250 0.8750 0.2500
Rh2 0.8750 0.1250 0.7500

[5]
Density functional theory data (PBE) for Ac3ThSe6 after structural relaxation.

Computed properties:
ΔE to the lowest computed polymorph: 0.000 eV per atom
VASP energy: -5.9426 eV/atom
total moment: 0.00 μB/f.u.

Unit cell a=12.1756 b=4.3807 c=12.6214 alpha=90.00 beta=106.80 gamma=90.00
Atoms (fractional coordinates):
Ac1 0.0900 0.2500 0.1692
Ac2 0.1841 0.7500 0.5093
Ac3 0.3375 0.2500 0.9250
Ac4 0.6625 0.7500 0.0750
Ac5 0.8159 0.2500 0.4907
Ac6 0.9100 0.7500 0.8308
Th1 0.4564 0.2500 0.3147
Th2 0.5436 0.7500 0.6853
Se1 0.0224 0.2500 0.3837
Se2 0.0895 0.2500 0.9237
Se3 0.2668 0.7500 0.2918
Se4 0.3270 0.7500 0.7528
Se5 0.3971 0.2500 0.5406
Se6 0.4161 0.7500 0.1088
Se7 0.5839 0.2500 0.8912
Se8 0.6029 0.7500 0.4594
Se9 0.6730 0.2500 0.2472
Se10 0.7332 0.2500 0.7082
Se11 0.9105 0.7500 0.0763
Se12 0.9776 0.7500 0.6163

[6]
Density functional theory data (PBE) for ScSbSeBr2 after structural relaxation.

Computed properties:
ΔE to the lowest computed polymorph: 0.634 eV per atom
VASP energy: -3.4264 eV/atom
total moment: 1.46 μB/f.u.

Unit cell a=5.5359 b=5.5359 c=5.5551 alpha=90.00 beta=90.00 gamma=90.00
Atoms (fractional coordinates):
Sc1 0.0000 0.0000 0.0000
Sb1 0.5000 0.5000 0.5000
Se1 0.5000 0.5000 0.0000
Br1 0.0000 0.5000 0.5000
Br2 0.5000 0.0000 0.5000

[7]
Density functional theory data (PBE) for Zr6Tl3Cd after structural relaxation.

Computed properties:
VASP energy: -5.8140 eV/atom
formation energy: 11 kJ/mol of atoms
total moment: 0.00 μB/f.u.

Unit cell a=8.5054 b=8.5054 c=8.5054 alpha=43.08 beta=43.08 gamma=43.08
Atoms (fractional coordinates):
Zr1 0.0026 0.4987 0.4987
Zr2 0.2234 0.7274 0.7274
Zr3 0.4987 0.0026 0.4987
Zr4 0.4987 0.4987 0.0026
Zr5 0.7274 0.2234 0.7274
Zr6 0.7274 0.7274 0.2234
Tl1 0.0099 0.0099 0.0099
Tl2 0.2162 0.2162 0.2162
Tl3 0.4457 0.4457 0.4457
Cd1 0.7800 0.7800 0.7800

[8]
Density functional theory data (PBE) for LuSc2Ta after structural relaxation.

Computed properties:
ΔE to the lowest computed polymorph: 0.027 eV per atom
VASP energy: -7.0422 eV/atom
formation energy: 21 kJ/mol of atoms
total moment: 0.00 μB/f.u.

Unit cell a=3.6705 b=3.6705 c=6.9189 alpha=90.00 beta=90.00 gamma=90.00
Atoms (fractional coordinates):
Lu1 0.0000 0.0000 0.0000
Sc1 0.5000 0.5000 0.2894
Sc2 0.5000 0.5000 0.7106
Ta1 0.0000 0.0000 0.5000